Density functional theory data (PBE) for PuCrBr2 after structural relaxation.

```
4
Lattice="-0.678 -3.081 -2.061 1.014 -3.391 1.292 -8.170 -3.075 3.839" Properties=species:S:1:pos:R:3 pbc="T T T"
Cr -3.917 -4.773 1.535
Br -5.493 -2.778 2.515
Br -2.341 -6.769 0.555
Pu 0.000 0.000 0.000
```

* volume: 114.2 Å³/cell
* total magnetic moment: 0.49 μB per atom
* N(E_F): 13.9 states/eV/f.u.
* formation energy (no corrections): -0.743 eV/f.u.

***

Density functional theory data (PBE) for Rb3Cr2Br9 after structural relaxation.

```
14
Lattice="-6.310 -1.309 3.776 0.380 -1.563 -7.294 2.976 -8.589 1.995" Properties=species:S:1:pos:R:3 pbc="T T T"
Br -1.748 -8.004 -2.200
Br 1.237 -7.384 -3.987
Br -3.155 -0.655 1.888
Br -2.965 -1.436 -1.759
Br 0.190 -0.781 -3.647
Br -4.191 -4.077 2.465
Br -1.206 -3.458 0.678
Br -4.012 -4.816 -0.986
Br 1.058 -6.645 -0.536
Rb 0.000 0.000 0.000
Rb -2.121 -7.049 1.400
Rb -0.833 -4.413 -2.922
Cr -3.566 -2.878 0.431
Cr 0.612 -8.583 -1.953
```

* volume: 449.6 Å³/cell
* total magnetic moment: 0.43 μB per atom
* formation energy (no corrections): -16.333 eV/f.u.

***

Density functional theory data (PBE) for Rb2CrBr5 after structural relaxation.

```
32
Lattice="7.412 0.000 0.000 0.000 9.587 0.000 0.000 0.000 15.331" Properties=species:S:1:pos:R:3 pbc="T T T"
Br 1.853 0.439 3.036
Br 5.559 4.354 10.702
Br 5.559 6.832 1.439
Br 3.706 4.793 7.665
Br 3.778 6.355 13.656
Br 1.853 7.548 9.105
Br 3.778 1.562 9.340
Br 0.000 0.000 0.000
Br 7.340 6.355 13.656
Br 7.340 1.562 9.340
Br 0.000 4.793 7.665
Br 3.634 3.232 1.675
Br 3.634 8.025 5.991
Br 3.706 0.000 0.000
Br 0.072 8.025 5.991
Br 0.072 3.232 1.675
Br 5.559 9.147 12.294
Br 5.559 2.038 6.226
Br 1.853 5.232 4.629
Br 1.853 2.755 13.891
Rb 5.559 5.211 4.636
Rb 5.559 7.830 8.976
Rb 5.559 3.036 14.020
Rb 1.853 4.376 10.695
Rb 1.853 6.550 1.310
Rb 5.559 0.418 3.029
Rb 1.853 9.169 12.302
Rb 1.853 1.757 6.355
Cr 1.853 1.726 0.898
Cr 5.559 7.861 14.432
Cr 5.559 3.068 8.564
Cr 1.853 6.519 6.767
```

* volume: 1089.3 Å³/cell
* total magnetic moment: 0.37 μB per atom
* energy above the lowest structure with this stoichiometry: 0.00 eV per formula unit
* formation energy (no corrections): -9.982 eV/f.u.

***

Density functional theory data (PBE) for Rb3Cr5Br12 after structural relaxation.

```
80
Lattice="15.038 0.000 0.000 -5.013 14.178 0.000 -5.013 -7.089 12.278" Properties=species:S:1:pos:R:3 pbc="T T T"
Br 11.342 3.355 3.821
Br 6.556 6.979 2.179
Br -1.317 8.531 5.144
Br -5.975 -0.110 10.099
Br 9.407 0.948 6.000
Br 7.783 12.730 0.139
Br 6.901 8.037 6.278
Br 3.124 2.126 3.960
Br 0.618 9.215 8.318
Br -2.770 -5.641 12.139
Br -4.395 6.141 6.278
Br -0.963 5.256 1.185
Br 5.975 -1.942 11.284
Br 10.289 -2.941 7.463
Br 6.202 1.913 1.324
Br 9.761 1.448 0.139
Br 5.630 5.911 9.960
Br -1.190 5.176 10.955
Br 6.329 -1.442 7.134
Br -1.544 0.110 10.099
Br -0.963 9.031 0.995
Br 1.544 1.942 11.284
Br -1.888 -0.948 6.000
Br -1.190 -3.734 8.457
Br 1.190 1.442 7.134
Br -4.748 5.641 12.139
Br 5.975 1.832 11.094
Br 1.544 -1.832 11.094
Br 1.888 4.963 8.318
Br -6.329 3.734 8.457
Br 8.709 -5.176 10.955
Br 6.202 10.823 3.821
Br 7.783 4.148 4.815
Br 4.748 2.700 7.324
Br 3.469 5.147 0.995
Br 4.395 -2.126 3.960
Br 10.988 7.198 2.179
Br 8.137 -1.178 2.318
Br -3.124 8.267 9.960
Br -0.618 1.178 2.318
Br -2.770 2.941 7.463
Br 0.264 4.389 4.955
Br 3.469 8.921 1.185
Br -3.696 12.265 1.324
Br -5.277 10.030 4.815
Br 2.770 -2.700 7.324
Br 2.242 9.789 4.955
Br 3.823 5.647 5.144
Cr -5.013 3.544 6.139
Cr -1.253 0.886 7.674
Cr 8.772 -0.886 7.674
Cr -1.253 3.544 3.070
Cr -2.506 -3.544 6.139
Cr 5.013 -3.544 6.139
Cr 2.506 3.544 6.139
Cr 6.266 -4.431 10.743
Cr 1.253 4.431 10.743
Cr -3.759 7.975 4.604
Cr 3.759 10.633 3.070
Cr 6.266 3.544 9.209
Cr 1.253 -3.544 9.209
Cr 5.013 7.089 0.000
Cr 6.266 6.203 4.604
Cr -2.506 7.089 0.000
Cr 3.759 2.658 1.535
Cr 7.519 0.000 0.000
Cr -1.253 11.519 1.535
Cr 0.000 0.000 0.000
Rb 8.772 9.747 1.535
Rb -6.266 7.089 9.209
Rb 1.253 7.089 3.070
Rb 3.759 7.975 7.674
Rb 1.253 -0.886 4.604
Rb 8.772 4.431 1.535
Rb 6.266 0.886 4.604
Rb -1.253 6.203 7.674
Rb 11.278 0.000 3.070
Rb 3.759 0.000 9.209
Rb -3.759 2.658 10.743
Rb -3.759 -2.658 10.743
```

* volume: 2617.7 Å³/cell
* total magnetic moment: 1.05 μB per atom
* N(E_F): 10.6 states/eV/f.u.
* formation energy (no corrections): -17.632 eV/f.u.

***

Density functional theory data (PBE) for Rb3CrBr8 after structural relaxation.

```
12
Lattice="-3.160 0.571 -7.107 4.894 -5.479 -2.616 -5.807 -2.805 6.635" Properties=species:S:1:pos:R:3 pbc="T T T"
Cr 0.000 0.000 0.000
Rb -4.050 -2.344 -2.667
Rb 0.867 -2.454 -4.862
Rb -0.022 -5.369 -0.422
Br -4.380 -2.689 4.233
Br -6.228 -2.355 0.078
Br -2.553 -1.820 -5.792
Br 0.308 -5.024 -7.322
Br -3.366 -5.559 -1.452
Br 2.156 -5.358 -3.166
Br -0.706 -2.154 -1.637
Br -1.519 -5.893 2.703
```

* volume: 451.9 Å³/cell
* total magnetic moment: 0.10 μB per atom
* N(E_F): 10.6 states/eV/f.u.
* formation energy (no corrections): -9.964 eV/f.u.

***

Density functional theory data (PBE) for Rb3CrBr6 after structural relaxation.

```
10
Lattice="-6.103 -1.561 -5.163 2.093 -7.871 -0.093 -5.521 -5.704 1.826" Properties=species:S:1:pos:R:3 pbc="T T T"
Br -3.546 -5.149 -0.676
Br -5.985 -9.987 -2.754
Br -2.884 -6.783 -3.780
Br -0.210 -6.099 -1.517
Br -1.127 -2.650 -1.477
Br -3.801 -3.334 -3.739
Rb -6.814 -5.991 -2.982
Rb -2.717 -9.145 -0.448
Rb 0.000 0.000 0.000
Cr -2.005 -4.716 -2.628
```

* volume: 382.1 Å³/cell
* total magnetic moment: 0.30 μB per atom
* energy above the lowest structure with this stoichiometry: 0.45 eV per formula unit
* N(E_F): 0.0 states/eV/f.u.
* formation energy (no corrections): -13.248 eV/f.u.

***

Density functional theory data (PBE) for Rb3Cr2Br7 after structural relaxation.

```
12
Lattice="5.287 0.000 0.000 0.000 5.380 0.000 0.000 -2.690 13.811" Properties=species:S:1:pos:R:3 pbc="T T T"
Br 0.000 2.690 2.603
Br 0.000 0.000 11.207
Br 0.000 2.690 8.529
Br 0.000 0.000 5.282
Br 2.643 0.000 2.618
Br 2.643 2.690 11.193
Br 0.000 0.000 0.000
Cr 0.000 0.000 2.679
Cr 0.000 2.690 11.132
Rb 2.643 0.000 8.871
Rb 2.643 2.690 0.000
Rb 2.643 2.690 4.940
```

* volume: 392.8 Å³/cell
* total magnetic moment: 0.67 μB per atom
* energy above the lowest structure with this stoichiometry: 0.20 eV per formula unit
* N(E_F): 2.0 states/eV/f.u.
* formation energy (no corrections): -14.272 eV/f.u.

***

Density functional theory data (PBE) for Rb3Cr2Br7 after structural relaxation.

```
12
Lattice="-2.866 3.931 2.208 -3.169 0.104 -4.300 -5.242 -11.333 6.907" Properties=species:S:1:pos:R:3 pbc="T T T"
Rb -6.005 -1.352 1.074
Rb -3.018 2.017 -1.046
Rb -5.273 -5.947 3.741
Br -3.148 -1.711 -1.040
Br -8.129 -5.587 5.855
Br -8.280 -7.500 2.602
Br 0.000 0.000 0.000
Br -8.108 -3.724 2.566
Br -2.997 0.202 2.213
Br -3.169 -3.574 2.249
Cr -1.600 -1.805 1.136
Cr -9.677 -5.493 3.679
```

* volume: 392.7 Å³/cell
* total magnetic moment: 0.67 μB per atom
* energy above the lowest structure with this stoichiometry: 0.00 eV per formula unit
* N(E_F): 2.0 states/eV/f.u.
* formation energy (no corrections): -14.476 eV/f.u.